The following is a DFT calculation (GGA-PBE) of a geometry-optimized TbSm14Er structure.

a = 7.2405 Å, b = 7.2405 Å, c = 10.2039 Å
α = 90.00°, β = 90.00°, γ = 90.00°
Last column: nearest neighbours and their distance in Å.
Positions (direct):
Tb 0.8751 0.1249 0.0000  12 Sm 3.60-3.62
Sm 0.3751 0.6249 0.5000  12 Sm 3.62
Sm 0.8749 0.1251 0.5000  12 Sm 3.62-3.63
Sm 0.8748 0.6248 0.0000  8 Sm 3.60, 2 Tb 3.62, 2 Er 3.62
Sm 0.8752 0.6252 0.5000  12 Sm 3.62
Sm 0.3752 0.1252 0.0000  8 Sm 3.60, 2 Tb 3.62, 2 Er 3.62
Sm 0.3748 0.1248 0.5000  12 Sm 3.62
Sm 0.6246 0.8746 0.7515  1 Er 3.60, 10 Sm 3.60-3.63, 1 Tb 3.61
Sm 0.6246 0.8746 0.2485  1 Er 3.60, 10 Sm 3.60-3.63, 1 Tb 3.61
Sm 0.1254 0.3754 0.7515  1 Er 3.60, 10 Sm 3.60-3.63, 1 Tb 3.61
Sm 0.1254 0.3754 0.2485  1 Er 3.60, 10 Sm 3.60-3.63, 1 Tb 3.61
Sm 0.1252 0.8748 0.7515  1 Er 3.60, 1 Tb 3.60, 10 Sm 3.60-3.63
Sm 0.1252 0.8748 0.2485  1 Er 3.60, 1 Tb 3.60, 10 Sm 3.60-3.63
Sm 0.6248 0.3752 0.7513  10 Sm 3.60-3.62, 1 Er 3.60, 1 Tb 3.61
Sm 0.6248 0.3752 0.2487  10 Sm 3.60-3.62, 1 Er 3.60, 1 Tb 3.61
Er 0.3750 0.6250 0.0000  12 Sm 3.60-3.62

Summary:
As for the formation energy: 15 meV/atom.

=====

The following is a DFT calculation (GGA-PBE) of a geometry-optimized Y3ErPd2 structure.

a = 3.7532 Å, b = 8.5374 Å, c = 9.8314 Å
α = 90.00°, β = 90.00°, γ = 90.00°
Last column: nearest neighbours and their distance in Å.
Positions (direct):
Y 0.0000 0.4910 0.9347  4 Pd 3.00
Y 0.0000 0.9910 0.0653  4 Pd 3.00
Y 0.5000 0.6715 0.2181  3 Pd 2.87-2.94
Y 0.5000 0.1715 0.7819  3 Pd 2.87-2.94
Y 0.0000 0.3283 0.2836  3 Pd 2.87-2.90
Y 0.0000 0.8283 0.7164  3 Pd 2.87-2.90
Er 0.5000 0.5082 0.5624  4 Pd 2.99
Er 0.5000 0.0082 0.4376  4 Pd 2.99
Pd 0.5000 0.7647 0.9303  7 Y 2.87-3.00
Pd 0.5000 0.2647 0.0697  7 Y 2.87-3.00
Pd 0.0000 0.2363 0.5680  3 Y 2.87-2.90, 4 Er 2.99
Pd 0.0000 0.7363 0.4320  3 Y 2.87-2.90, 4 Er 2.99

Summary:
As for the formation energy: -595 meV/atom.

=====

The following is a DFT calculation (GGA-PBE) of a geometry-optimized TiReOs2Se structure.

a = 4.7316 Å, b = 4.7144 Å, c = 4.7316 Å
α = 90.00°, β = 90.00°, γ = 90.00°
Last column: nearest neighbours and their distance in Å.
Positions (direct):
Re 0.0000 0.0000 0.0000  2 Ti 2.36, 4 Os 2.37
Os 0.0000 0.0000 0.5000  2 Re 2.37
Os 0.5000 0.0000 0.0000  2 Re 2.37
Se 0.5000 0.5000 0.5000  8 Os 3.34, 4 Ti 3.35
Ti 0.0000 0.5000 0.0000  2 Re 2.36

Summary:
The formation energy (no corrections) is 1.6330 eV per atom.

=====

The following is a DFT calculation (GGA-PBE) of a geometry-optimized Li2TaIr structure.

a = 7.0291 Å, b = 7.0291 Å, c = 5.5655 Å
α = 50.84°, β = 50.84°, γ = 90.00°
Last column: nearest neighbours and their distance in Å.
Positions (direct):
Ir 0.0000 0.0000 0.0000  4 Li 2.43, 2 Ta 2.50
Ir 0.7500 0.2500 0.5000  4 Li 2.43, 2 Ta 2.50
Li 0.6524 0.1250 0.2500  2 Ir 2.43, 2 Li 2.53, 2 Ta 2.70
Li 0.0976 0.6250 0.2500  2 Ir 2.43, 2 Li 2.53, 2 Ta 2.70
Li 0.3750 0.3476 0.7500  2 Ir 2.43, 2 Li 2.53, 2 Ta 2.70
Li 0.8750 0.9024 0.7500  2 Ir 2.43, 2 Li 2.53, 2 Ta 2.70
Ta 0.5000 0.5000 0.0000  2 Ir 2.50, 4 Li 2.70
Ta 0.2500 0.7500 0.5000  2 Ir 2.50, 4 Li 2.70

Summary:
As for the formation energy: 576 meV/atom.

=====

The following is a DFT calculation (GGA-PBE) of a geometry-optimized NaLi2Cd6 structure.

a = 5.2667 Å, b = 8.8442 Å, c = 8.8436 Å
α = 74.17°, β = 82.93°, γ = 82.92°
Last column: nearest neighbours and their distance in Å.
Positions (direct):
Na 0.2500 0.1134 0.8866  10 Cd 3.16-3.28
Na 0.7500 0.8866 0.1134  10 Cd 3.16-3.28
Li 0.3983 0.5404 0.7859  10 Cd 2.89-3.18
Li 0.1017 0.2141 0.4596  10 Cd 2.89-3.18
Li 0.6017 0.4596 0.2141  10 Cd 2.89-3.18
Li 0.8983 0.7859 0.5404  10 Cd 2.89-3.18
Cd 0.4752 0.6747 0.4343  4 Li 2.89-3.18, 5 Cd 2.98-3.06, 1 Na 3.23
Cd 0.0248 0.5657 0.3253  4 Li 2.89-3.18, 5 Cd 2.98-3.06, 1 Na 3.23
Cd 0.5248 0.3253 0.5657  4 Li 2.89-3.18, 5 Cd 2.98-3.06, 1 Na 3.23
Cd 0.9752 0.4343 0.6747  4 Li 2.89-3.18, 5 Cd 2.98-3.06, 1 Na 3.23
Cd 0.6572 0.1110 0.3515  4 Li 2.96-3.11, 5 Cd 2.98-3.23, 1 Na 3.23
Cd 0.8428 0.6485 0.8890  4 Li 2.96-3.11, 5 Cd 2.98-3.23, 1 Na 3.23
Cd 0.3428 0.8890 0.6485  4 Li 2.96-3.11, 5 Cd 2.98-3.23, 1 Na 3.23
Cd 0.1572 0.3515 0.1110  4 Li 2.96-3.11, 5 Cd 2.98-3.23, 1 Na 3.23
Cd 0.3080 0.7275 0.0192  2 Li 2.92-2.94, 4 Cd 2.98-3.19, 2 Na 3.16-3.21
Cd 0.1920 0.9808 0.2725  2 Li 2.92-2.94, 4 Cd 2.98-3.19, 2 Na 3.16-3.21
Cd 0.6920 0.2725 0.9808  2 Li 2.92-2.94, 4 Cd 2.98-3.19, 2 Na 3.16-3.21
Cd 0.8080 0.0192 0.7275  2 Li 2.92-2.94, 4 Cd 2.98-3.19, 2 Na 3.16-3.21

Summary:
As for the formation energy: -124 meV/atom.

=====

The following is a DFT calculation (GGA-PBE) of a geometry-optimized DyCu2Sb2 structure.

a = 7.1296 Å, b = 7.1296 Å, c = 6.8164 Å
α = 119.75°, β = 119.75°, γ = 97.28°
Last column: nearest neighbours and their distance in Å.
Positions (direct):
Dy 0.1066 0.8934 0.2500  4 Sb 3.02-3.16, 4 Cu 3.16-3.24
Dy 0.8934 0.1066 0.7500  4 Sb 3.02-3.16, 4 Cu 3.16-3.24
Cu 0.7495 0.5585 0.5511  4 Sb 2.60-2.68, 1 Cu 2.72
Cu 0.4415 0.2505 0.9489  4 Sb 2.60-2.68, 1 Cu 2.72
Cu 0.5585 0.7495 0.0511  4 Sb 2.60-2.68, 1 Cu 2.72
Cu 0.2505 0.4415 0.4489  4 Sb 2.60-2.68, 1 Cu 2.72
Sb 0.3888 0.6112 0.2500  4 Cu 2.60-2.63
Sb 0.8117 0.1883 0.2500  4 Cu 2.61-2.68
Sb 0.1883 0.8117 0.7500  4 Cu 2.61-2.68
Sb 0.6112 0.3888 0.7500  4 Cu 2.60-2.63

Summary:
The formation energy (no corrections) is -0.2957 eV per atom.

=====

Total energy, record by record: -4.6884; -6.3187; -7.6244; -5.5597; -1.3057; -4.5036 eV per atom